{"formula": "MgFeB4", "functional": "PBE", "state": "optimized geometry", "lattice_angstrom": [[5.783, 0.000, 0.000], [0.000, 11.112, 0.000], [0.000, 0.000, 3.183]], "species": ["B", "B", "B", "B", "B", "B", "B", "B", "B", "B", "B", "B", "B", "B", "B", "B", "Fe", "Fe", "Fe", "Fe", "Mg", "Mg", "Mg", "Mg"], "frac_coords": [[0.479, 0.695, 0.500], [0.866, 0.531, 0.500], [0.614, 0.451, 0.500], [0.021, 0.195, 0.500], [0.788, 0.685, 0.500], [0.979, 0.805, 0.500], [0.366, 0.969, 0.500], [0.114, 0.049, 0.500], [0.886, 0.951, 0.500], [0.386, 0.549, 0.500], [0.634, 0.031, 0.500], [0.521, 0.305, 0.500], [0.712, 0.185, 0.500], [0.212, 0.315, 0.500], [0.288, 0.815, 0.500], [0.134, 0.469, 0.500], [0.132, 0.916, 0.000], [0.632, 0.584, 0.000], [0.368, 0.416, 0.000], [0.868, 0.084, 0.000], [0.876, 0.349, 0.000], [0.624, 0.849, 0.000], [0.376, 0.151, 0.000], [0.124, 0.651, 0.000]], "polymorph_energy_ev_per_atom": 0.0000, "e_tot_ev_per_cell": -152.22, "spacegroup": "Pbam (55)"}

=====

{"formula": "MgNbFeB", "functional": "PBE", "state": "optimized geometry", "lattice_angstrom": [[2.409, -3.056, -1.451], [-1.003, -3.963, 0.735], [-1.347, -2.410, -3.102]], "species": ["Mg", "B", "Fe", "Nb"], "frac_coords": [[0.750, 0.750, 0.750], [0.500, 0.500, 0.500], [0.000, 0.000, 0.000], [0.250, 0.250, 0.250]], "polymorph_energy_ev_per_atom": 0.0000, "e_tot_ev_per_cell": -25.49, "spacegroup": "F-43m (216)"}

=====

{"formula": "MgNbFeB", "functional": "PBE", "state": "optimized geometry", "lattice_angstrom": [[0.000, 2.957, 2.957], [2.957, 0.000, 2.957], [2.957, 2.957, 0.000]], "species": ["Mg", "Fe", "B", "Nb"], "frac_coords": [[0.750, 0.750, 0.750], [0.000, 0.000, 0.000], [0.250, 0.250, 0.250], [0.500, 0.500, 0.500]], "polymorph_energy_ev_per_atom": 0.3536, "e_tot_ev_per_cell": -24.08, "spacegroup": "F-43m (216)"}

=====

{"formula": "MgNbFeB", "functional": "PBE", "state": "optimized geometry", "lattice_angstrom": [[0.000, 2.904, 2.904], [2.904, 0.000, 2.904], [2.904, 2.904, 0.000]], "species": ["Fe", "B", "Nb", "Mg"], "frac_coords": [[0.750, 0.750, 0.750], [0.000, 0.000, 0.000], [0.500, 0.500, 0.500], [0.250, 0.250, 0.250]], "polymorph_energy_ev_per_atom": 0.1155, "e_tot_ev_per_cell": -25.03, "spacegroup": "F-43m (216)"}

=====

{"formula": "MgFeBOs", "functional": "PBE", "state": "optimized geometry", "lattice_angstrom": [[0.000, 2.857, 2.857], [2.857, 0.000, 2.857], [2.857, 2.857, 0.000]], "species": ["Mg", "B", "Os", "Fe"], "frac_coords": [[0.500, 0.500, 0.500], [0.000, 0.000, 0.000], [0.250, 0.250, 0.250], [0.750, 0.750, 0.750]], "polymorph_energy_ev_per_atom": 0.0000, "e_tot_ev_per_cell": -25.36, "spacegroup": "F-43m (216)"}

=====

{"formula": "MgFeBSb", "functional": "PBE", "state": "optimized geometry", "lattice_angstrom": [[0.000, 3.065, 3.065], [3.065, 0.000, 3.065], [3.065, 3.065, 0.000]], "species": ["Sb", "Fe", "B", "Mg"], "frac_coords": [[0.000, 0.000, 0.000], [0.250, 0.250, 0.250], [0.500, 0.500, 0.500], [0.750, 0.750, 0.750]], "polymorph_energy_ev_per_atom": 0.0000, "e_tot_ev_per_cell": -17.45, "spacegroup": "F-43m (216)"}

=====

{"formula": "MgScFeB", "functional": "PBE", "state": "optimized geometry", "lattice_angstrom": [[0.876, -3.257, -2.470], [-1.598, -3.765, 0.861], [-2.971, -1.620, -2.454]], "species": ["Sc", "B", "Mg", "Fe"], "frac_coords": [[0.750, 0.750, 0.750], [0.000, 0.000, 0.000], [0.500, 0.500, 0.500], [0.250, 0.250, 0.250]], "polymorph_energy_ev_per_atom": 0.0040, "e_tot_ev_per_cell": -21.47, "spacegroup": "F-43m (216)"}

=====

{"formula": "MgScFeB", "functional": "PBE", "state": "optimized geometry", "lattice_angstrom": [[0.000, 2.995, 2.995], [2.995, 0.000, 2.995], [2.995, 2.995, 0.000]], "species": ["Fe", "Mg", "B", "Sc"], "frac_coords": [[0.500, 0.500, 0.500], [0.250, 0.250, 0.250], [0.000, 0.000, 0.000], [0.750, 0.750, 0.750]], "polymorph_energy_ev_per_atom": 0.0000, "e_tot_ev_per_cell": -21.48, "spacegroup": "F-43m (216)"}

=====

{"formula": "MgScFeB", "functional": "PBE", "state": "optimized geometry", "lattice_angstrom": [[0.000, 2.956, 2.956], [2.956, 0.000, 2.956], [2.956, 2.956, 0.000]], "species": ["Sc", "Fe", "B", "Mg"], "frac_coords": [[0.750, 0.750, 0.750], [0.000, 0.000, 0.000], [0.250, 0.250, 0.250], [0.500, 0.500, 0.500]], "polymorph_energy_ev_per_atom": 0.1593, "e_tot_ev_per_cell": -20.85, "spacegroup": "F-43m (216)"}

=====

{"formula": "MgZnFeB", "functional": "PBE", "state": "optimized geometry", "lattice_angstrom": [[-3.468, 1.190, 1.708], [-3.231, 0.771, -2.308], [-3.180, -2.498, 0.073]], "species": ["Mg", "B", "Fe", "Zn"], "frac_coords": [[0.250, 0.250, 0.250], [0.000, 0.000, 0.000], [0.750, 0.750, 0.750], [0.500, 0.500, 0.500]], "polymorph_energy_ev_per_atom": 0.0000, "e_tot_ev_per_cell": -15.84, "spacegroup": "F-43m (216)"}

=====

{"formula": "MgZnFeB", "functional": "PBE", "state": "optimized geometry", "lattice_angstrom": [[0.078, 2.111, 3.459], [-3.410, 1.642, 1.449], [-1.720, -1.519, 3.340]], "species": ["B", "Fe", "Mg", "Zn"], "frac_coords": [[0.000, 0.000, 0.000], [0.750, 0.750, 0.750], [0.500, 0.500, 0.500], [0.250, 0.250, 0.250]], "polymorph_energy_ev_per_atom": 0.1460, "e_tot_ev_per_cell": -15.26, "spacegroup": "F-43m (216)"}

=====

{"formula": "MgZrFeB", "functional": "PBE", "state": "optimized geometry", "lattice_angstrom": [[-2.844, -1.919, 2.486], [-1.838, 2.140, 3.161], [-4.095, 1.058, -0.257]], "species": ["Mg", "Fe", "Zr", "B"], "frac_coords": [[0.500, 0.500, 0.500], [0.750, 0.750, 0.750], [0.250, 0.250, 0.250], [0.000, 0.000, 0.000]], "polymorph_energy_ev_per_atom": 0.0000, "e_tot_ev_per_cell": -23.27, "spacegroup": "F-43m (216)"}

=====

{"formula": "MgZrFeB", "functional": "PBE", "state": "optimized geometry", "lattice_angstrom": [[2.776, 1.628, 2.761], [-1.201, 0.813, 3.984], [1.468, -2.383, 3.185]], "species": ["B", "Mg", "Zr", "Fe"], "frac_coords": [[0.000, 0.000, 0.000], [0.250, 0.250, 0.250], [0.500, 0.500, 0.500], [0.750, 0.750, 0.750]], "polymorph_energy_ev_per_atom": 0.0174, "e_tot_ev_per_cell": -23.20, "spacegroup": "F-43m (216)"}

=====

{"formula": "FeB2Mo2", "functional": "PBE", "state": "optimized geometry", "lattice_angstrom": [[-0.900, -1.901, 5.302], [5.619, 0.056, 0.974], [-0.211, 3.013, 1.045]], "species": ["Mo", "Mo", "Mo", "Mo", "Fe", "Fe", "B", "B", "B", "B"], "frac_coords": [[0.678, 0.822, 0.500], [0.178, 0.678, 0.500], [0.822, 0.322, 0.500], [0.322, 0.178, 0.500], [0.500, 0.500, 0.000], [0.000, 0.000, 0.000], [0.385, 0.885, 0.000], [0.115, 0.385, 0.000], [0.885, 0.615, 0.000], [0.615, 0.115, 0.000]], "e_tot_ev_per_cell": -91.04, "spacegroup": "P4/mbm (127)"}

=====

{"formula": "FeB3Mo4", "functional": "PBE", "state": "optimized geometry", "lattice_angstrom": [[-2.449, -1.582, 1.032], [2.161, -1.426, -1.691], [11.542, -5.323, 19.232]], "species": ["B", "B", "B", "B", "B", "B", "Mo", "Mo", "Mo", "Mo", "Mo", "Mo", "Mo", "Mo", "Fe", "Fe"], "frac_coords": [[0.333, 0.667, 0.615], [0.667, 0.333, 0.385], [0.667, 0.333, 0.115], [0.000, 0.000, 0.000], [0.000, 0.000, 0.500], [0.333, 0.667, 0.885], [0.000, 0.000, 0.832], [0.667, 0.333, 0.942], [0.000, 0.000, 0.668], [0.667, 0.333, 0.558], [0.000, 0.000, 0.168], [0.333, 0.667, 0.058], [0.000, 0.000, 0.332], [0.333, 0.667, 0.442], [0.667, 0.333, 0.750], [0.333, 0.667, 0.250]], "e_tot_ev_per_cell": -144.45, "spacegroup": "P6_3/mmc (194)"}

=====

{"formula": "FeBMo2", "functional": "PBE", "state": "optimized geometry", "lattice_angstrom": [[-0.253, -3.000, 0.043], [0.696, 1.489, 2.523], [-12.491, 1.092, 2.799]], "species": ["Mo", "Mo", "Mo", "Mo", "Fe", "Fe", "B", "B"], "frac_coords": [[0.667, 0.333, 0.900], [0.333, 0.667, 0.400], [0.667, 0.333, 0.600], [0.333, 0.667, 0.100], [0.667, 0.333, 0.250], [0.333, 0.667, 0.750], [0.000, 0.000, 0.000], [0.000, 0.000, 0.500]], "e_tot_ev_per_cell": -72.67, "spacegroup": "P6_3/mmc (194)"}

=====

{"formula": "FeB4Mo", "functional": "PBE", "state": "optimized geometry", "lattice_angstrom": [[0.791, 2.310, 3.652], [-3.908, 1.993, -0.226], [1.718, -3.978, 0.725]], "species": ["B", "B", "B", "B", "Fe", "Mo"], "frac_coords": [[0.419, 0.753, 0.666], [0.912, 0.247, 0.666], [0.581, 0.247, 0.334], [0.088, 0.753, 0.334], [0.500, 0.500, 0.000], [0.000, 0.000, 0.000]], "polymorph_energy_ev_per_atom": 0.0418, "e_tot_ev_per_cell": -46.78, "spacegroup": "Immm (71)"}

=====

{"formula": "FeB2Mo3", "functional": "PBE", "state": "optimized geometry", "lattice_angstrom": [[3.081, 0.000, 0.000], [-1.541, 2.668, 0.000], [0.000, 0.000, 18.055]], "species": ["B", "B", "B", "B", "Mo", "Mo", "Mo", "Mo", "Mo", "Mo", "Fe", "Fe"], "frac_coords": [[0.333, 0.667, 0.074], [0.667, 0.333, 0.926], [0.667, 0.333, 0.574], [0.333, 0.667, 0.426], [0.000, 0.000, 0.000], [0.333, 0.667, 0.858], [0.667, 0.333, 0.142], [0.667, 0.333, 0.358], [0.000, 0.000, 0.500], [0.333, 0.667, 0.642], [0.000, 0.000, 0.250], [0.000, 0.000, 0.750]], "e_tot_ev_per_cell": -108.75, "spacegroup": "P6_3/mmc (194)"}

=====

{"formula": "FeB2Mo2", "functional": "PBE", "state": "optimized geometry", "lattice_angstrom": [[1.527, -5.492, 0.000], [1.527, 5.492, 0.000], [0.000, 0.000, 3.145]], "species": ["Mo", "Mo", "Fe", "B", "B"], "frac_coords": [[0.638, 0.362, 0.500], [0.362, 0.638, 0.500], [0.000, 0.000, 0.000], [0.204, 0.796, 0.000], [0.796, 0.204, 0.000]], "e_tot_ev_per_cell": -45.25, "spacegroup": "Cmmm (65)"}

=====

{"formula": "FeB2Mo2", "functional": "PBE", "state": "optimized geometry", "lattice_angstrom": [[1.372, 0.044, 3.332], [-1.404, -3.260, 0.621], [3.962, -0.396, -3.575]], "species": ["Mo", "Mo", "B", "B", "Fe"], "frac_coords": [[0.250, 0.750, 0.500], [0.750, 0.250, 0.500], [0.587, 0.587, 0.174], [0.413, 0.413, 0.826], [0.000, 0.000, 0.000]], "e_tot_ev_per_cell": -41.69, "spacegroup": "I4/mmm (139)"}

=====

{"formula": "FeBMo2", "functional": "PBE", "state": "optimized geometry", "lattice_angstrom": [[0.000, 2.918, 2.918], [2.918, 0.000, 2.918], [2.918, 2.918, 0.000]], "species": ["Mo", "Mo", "Fe", "B"], "frac_coords": [[0.000, 0.000, 0.000], [0.750, 0.750, 0.750], [0.250, 0.250, 0.250], [0.500, 0.500, 0.500]], "e_tot_ev_per_cell": -34.65, "spacegroup": "F-43m (216)"}

=====

{"formula": "Fe3BMo", "functional": "PBE", "state": "optimized geometry", "lattice_angstrom": [[-5.058, -3.106, 4.504], [4.520, -4.322, -4.050], [1.951, -0.008, 2.185]], "species": ["B", "B", "Fe", "Fe", "Fe", "Fe", "Fe", "Fe", "Mo", "Mo"], "frac_coords": [[0.000, 0.000, 0.000], [0.000, 0.000, 0.500], [0.157, 0.315, 0.250], [0.158, 0.842, 0.250], [0.843, 0.685, 0.750], [0.842, 0.158, 0.750], [0.685, 0.843, 0.250], [0.315, 0.157, 0.750], [0.334, 0.666, 0.250], [0.666, 0.334, 0.750]], "e_tot_ev_per_cell": -75.35, "spacegroup": "Cmcm (63)"}

=====

{"formula": "FeB4Mo", "functional": "PBE", "state": "optimized geometry", "lattice_angstrom": [[3.049, 0.000, 0.000], [-1.525, 2.641, 0.000], [0.000, 0.000, 5.934]], "species": ["B", "B", "B", "B", "Fe", "Mo"], "frac_coords": [[0.667, 0.333, 0.726], [0.667, 0.333, 0.274], [0.333, 0.667, 0.726], [0.333, 0.667, 0.274], [0.000, 0.000, 0.500], [0.000, 0.000, 0.000]], "polymorph_energy_ev_per_atom": 0.0000, "e_tot_ev_per_cell": -47.03, "spacegroup": "P6/mmm (191)"}

=====

{"formula": "FeBMoOs", "functional": "PBE", "state": "optimized geometry", "lattice_angstrom": [[0.000, 2.896, 2.896], [2.896, 0.000, 2.896], [2.896, 2.896, 0.000]], "species": ["Mo", "B", "Os", "Fe"], "frac_coords": [[0.500, 0.500, 0.500], [0.000, 0.000, 0.000], [0.250, 0.250, 0.250], [0.750, 0.750, 0.750]], "polymorph_energy_ev_per_atom": 0.0000, "e_tot_ev_per_cell": -35.09, "spacegroup": "F-43m (216)"}

=====

{"formula": "FeBMoPd", "functional": "PBE", "state": "optimized geometry", "lattice_angstrom": [[3.616, -0.214, -2.010], [2.630, -3.101, 0.793], [0.625, -2.960, -2.830]], "species": ["B", "Mo", "Fe", "Pd"], "frac_coords": [[0.000, 0.000, 0.000], [0.250, 0.250, 0.250], [0.750, 0.750, 0.750], [0.500, 0.500, 0.500]], "polymorph_energy_ev_per_atom": 0.0000, "e_tot_ev_per_cell": -29.07, "spacegroup": "F-43m (216)"}

=====

{"formula": "FeBMoPd", "functional": "PBE", "state": "optimized geometry", "lattice_angstrom": [[-1.392, 0.674, 3.844], [-1.060, 3.828, 1.178], [-3.985, 0.946, 0.624]], "species": ["Fe", "B", "Pd", "Mo"], "frac_coords": [[0.750, 0.750, 0.750], [0.000, 0.000, 0.000], [0.250, 0.250, 0.250], [0.500, 0.500, 0.500]], "polymorph_energy_ev_per_atom": 0.1536, "e_tot_ev_per_cell": -28.45, "spacegroup": "F-43m (216)"}

=====

{"formula": "TaFeBMo", "functional": "PBE", "state": "optimized geometry", "lattice_angstrom": [[0.000, 2.960, 2.960], [2.960, 0.000, 2.960], [2.960, 2.960, 0.000]], "species": ["Mo", "B", "Ta", "Fe"], "frac_coords": [[0.250, 0.250, 0.250], [0.000, 0.000, 0.000], [0.500, 0.500, 0.500], [0.750, 0.750, 0.750]], "polymorph_energy_ev_per_atom": 0.0000, "e_tot_ev_per_cell": -35.88, "spacegroup": "F-43m (216)"}